# Tl2HgAs2 PBE optimized geometry
data_Tl2HgAs2
_symmetry_space_group_name_H-M 'P 1'
_symmetry_Int_Tables_number 1
_cell_length_a 6.129
_cell_length_b 6.129
_cell_length_c 6.129
_cell_angle_alpha 125.17
_cell_angle_beta 125.17
_cell_angle_gamma 81.25
loop_
_symmetry_equiv_pos_as_xyz
'x,y,z'
loop_
_atom_site_label
_atom_site_type_symbol
_atom_site_fract_x
_atom_site_fract_y
_atom_site_fract_z
Tl1 Tl 0.250 0.750 0.500
Tl2 Tl 0.750 0.250 0.500
Hg1 Hg 0.000 0.000 0.000
As1 As 0.372 0.372 0.000
As2 As 0.628 0.628 0.000
# crystal system	tetragonal
# final energy	-0.1029	Ha/atom
# total magnetic moment	0.00	μB/cell
# formation energy from the elements	0.339	eV per formula unit
# symmetry	I4/mmm